1.
# PBE-GGA LiNi5H11, optimized geometry
# **Crystal system**: monoclinic
data_LiNi5H11
_chemical_formula_sum 'Li2 Ni10 H22'
_cell_length_a 6.392
_cell_length_b 7.787
_cell_length_c 4.766
_cell_angle_alpha 90.00
_cell_angle_beta 109.47
_cell_angle_gamma 90.00
_symmetry_space_group_name_H-M 'C 1 2/m 1'
_symmetry_Int_Tables_number 12
loop_
_symmetry_equiv_pos_as_xyz
'x,y,z'
'-x,-y,-z'
'-x,y,-z'
'x,-y,z'
'x+1/2,y+1/2,z'
'-x+1/2,-y+1/2,-z'
'-x+1/2,y+1/2,-z'
'x+1/2,-y+1/2,z'
loop_
_atom_site_label
_atom_site_fract_x
_atom_site_fract_y
_atom_site_fract_z
Li1 0.000 0.000 0.000
Ni1 0.000 0.500 0.000
Ni2 0.184 0.180 0.710
H1 0.000 0.000 0.500
H2 0.091 0.225 0.351
H3 0.177 0.500 0.337
H4 0.185 0.360 0.931

***

2.
# PBE-GGA LiNiH3, optimized geometry
# **Crystal system**: monoclinic
data_LiNiH3
_chemical_formula_sum 'Li4 Ni4 H12'
_cell_length_a 5.630
_cell_length_b 4.459
_cell_length_c 6.610
_cell_angle_alpha 90.00
_cell_angle_beta 125.90
_cell_angle_gamma 90.00
_symmetry_space_group_name_H-M 'P 1 21/c 1'
_symmetry_Int_Tables_number 14
loop_
_symmetry_equiv_pos_as_xyz
'x,y,z'
'-x,-y,-z'
'-x,y+1/2,-z+1/2'
'x,-y+1/2,z+1/2'
loop_
_atom_site_label
_atom_site_fract_x
_atom_site_fract_y
_atom_site_fract_z
Li1 0.207 0.250 0.103
Ni1 0.264 0.683 0.382
H1 0.041 0.521 0.771
H2 0.265 0.749 0.132
H3 0.385 0.169 0.942

***

3.
# PBE-GGA LiNi4H8, optimized geometry
# **Crystal system**: trigonal
data_LiNi4H8
_chemical_formula_sum 'Li3 Ni12 H24'
_cell_length_a 5.1132
_cell_length_b 5.1132
_cell_length_c 14.0537
_cell_angle_alpha 90.00
_cell_angle_beta 90.00
_cell_angle_gamma 120.00
_symmetry_space_group_name_H-M 'R -3 m'
_symmetry_Int_Tables_number 166
_symmetry_space_group_name_Hall '-R 3 2"'
loop_
_atom_site_label
_atom_site_fract_x
_atom_site_fract_y
_atom_site_fract_z
Li1 0.0000 0.0000 0.0000
Ni1 0.0000 0.0000 0.5000
Ni2 0.0000 0.5000 0.5000
H1 0.0000 0.0000 0.2269
H2 0.0015 0.5007 0.2263

***

4.
# PBE-GGA Li2NiH3, optimized geometry
# **Energy relative to the lowest polymorph listed for this composition**: 0.03 eV/f.u.
# **Crystal system**: orthorhombic
data_Li2NiH3
_chemical_formula_sum 'Li8 Ni4 H12'
_cell_length_a 7.763
_cell_length_b 5.371
_cell_length_c 4.536
_cell_angle_alpha 90.00
_cell_angle_beta 90.00
_cell_angle_gamma 90.00
_symmetry_space_group_name_H-M 'C m c m'
_symmetry_Int_Tables_number 63
_symmetry_space_group_name_Hall '-C 2c 2'
loop_
_atom_site_label
_atom_site_fract_x
_atom_site_fract_y
_atom_site_fract_z
Li1 0.161 0.168 0.250
Ni1 0.000 0.394 0.750
H1 0.000 0.104 0.750
H2 0.139 0.500 0.000

***

5.
# PBE-GGA Li2NiH, optimized geometry
# **Energy relative to the lowest polymorph listed for this composition**: 0.00 eV/f.u.
# **Crystal system**: tetragonal
data_Li2NiH
_chemical_formula_sum 'Li8 Ni4 H4'
_cell_length_a 7.661
_cell_length_b 7.661
_cell_length_c 3.196
_cell_angle_alpha 90.00
_cell_angle_beta 90.00
_cell_angle_gamma 90.00
_symmetry_space_group_name_H-M 'I -4 2 d'
_symmetry_Int_Tables_number 122
_symmetry_space_group_name_Hall 'I -4 2bw'
loop_
_atom_site_label
_atom_site_fract_x
_atom_site_fract_y
_atom_site_fract_z
Li1 0.099 0.250 0.125
Ni1 0.000 0.000 0.500
H1 0.000 0.000 0.000

***

6.
# PBE-GGA LiNi5H6, optimized geometry
# **Crystal system**: monoclinic
data_LiNi5H6
_chemical_formula_sum 'Li2 Ni10 H12'
_cell_length_a 4.578
_cell_length_b 7.950
_cell_length_c 4.550
_cell_angle_alpha 90.00
_cell_angle_beta 110.08
_cell_angle_gamma 90.00
_symmetry_space_group_name_H-M 'C 1 2/m 1'
_symmetry_Int_Tables_number 12
loop_
_symmetry_equiv_pos_as_xyz
'x,y,z'
'-x,-y,-z'
'-x,y,-z'
'x,-y,z'
'x+1/2,y+1/2,z'
'-x+1/2,-y+1/2,-z'
'-x+1/2,y+1/2,-z'
'x+1/2,-y+1/2,z'
loop_
_atom_site_label
_atom_site_fract_x
_atom_site_fract_y
_atom_site_fract_z
Li1 0.000 0.000 0.000
Ni1 0.000 0.165 0.500
Ni2 0.000 0.333 0.000
Ni3 0.000 0.500 0.500
H1 0.235 0.316 0.748
H2 0.236 0.500 0.273

***

Respective electronic total energy values: -3.993, -3.724, -4.093, -3.581, -3.244, -4.374 eV per atom.
Respective magnetization values: 0.0000, 0.0000, 0.0000, 0.0000, 0.0000, 0.0000 μB/atom.